[1]
First-principles (GGA-PBE) data for a relaxed NaTe2PtO8 crystal, as listed in Alexandria.

Output
V = 171.8 Å³ per cell
E_form (uncorrected) = -555 kJ/mol of formula units
Magnetic moment = 1.65 μB per formula unit
DOS at the Fermi energy = 0.329 states/eV per atom

abc: 6.0702 6.0702 6.0702
angles: 107.96 107.96 112.55
Atoms (fractional coordinates):
1 Na 0.0000 0.0000 0.0000
2 Te 0.2500 0.7500 0.5000
3 Te 0.5000 0.5000 0.0000
4 Pt 0.7500 0.2500 0.5000
5 O 0.0664 0.3750 0.3086
6 O 0.0664 0.7577 0.6914
7 O 0.1118 0.3186 0.7932
8 O 0.2423 0.9336 0.3086
9 O 0.5254 0.3186 0.2068
10 O 0.6250 0.9336 0.6914
11 O 0.6814 0.4746 0.7932
12 O 0.6814 0.8882 0.2068


[2]
First-principles (GGA-PBE) data for a relaxed NaThPtO4 crystal, as listed in Alexandria.

Output
V = 240.7 Å³ per cell
E_form (uncorrected) = -1307 kJ/mol of formula units
Magnetic moment = 0.57 μB per formula unit
DOS at the Fermi energy = 0.872 states/eV per atom

abc: 7.1800 7.1800 7.1800
angles: 128.28 120.41 82.78
Atoms (fractional coordinates):
1 Na 0.4123 0.1623 0.2500
2 Na 0.5877 0.8377 0.7500
3 Th 0.0000 0.5000 0.5000
4 Th 0.5000 0.5000 0.0000
5 Pt 0.0000 0.0000 0.5000
6 Pt 0.0000 0.5000 0.0000
7 O 0.1542 0.7277 0.4265
8 O 0.1987 0.2723 0.9265
9 O 0.2884 0.3243 0.5359
10 O 0.2884 0.7525 0.9641
11 O 0.7116 0.2475 0.0359
12 O 0.7116 0.6757 0.4641
13 O 0.8013 0.7277 0.0735
14 O 0.8458 0.2723 0.5735


[3]
First-principles (GGA-PBE) data for a relaxed Na2TiPt2O6 crystal, as listed in Alexandria.

Output
V = 142.4 Å³ per cell
E_form (uncorrected) = -1420 kJ/mol of formula units
Magnetic moment = 0.00 μB per formula unit
DOS at the Fermi energy = 0.412 states/eV per atom

abc: 5.3419 5.3419 6.0604
angles: 102.02 102.02 116.32
Atoms (fractional coordinates):
1 Na 0.1769 0.8231 0.0000
2 Na 0.8231 0.1769 0.0000
3 Ti 0.0000 0.0000 0.5000
4 Pt 0.3284 0.6716 0.5000
5 Pt 0.6716 0.3284 0.5000
6 O 0.0448 0.3618 0.7127
7 O 0.2548 0.2548 0.3186
8 O 0.3618 0.0448 0.7127
9 O 0.6382 0.9552 0.2873
10 O 0.7452 0.7452 0.6814
11 O 0.9552 0.6382 0.2873


[4]
First-principles (GGA-PBE) data for a relaxed Na2TiPtO crystal, as listed in Alexandria.

Output
V = 78.5 Å³ per cell
E_form (uncorrected) = -391 kJ/mol of formula units
Magnetic moment = 0.00 μB per formula unit
DOS at the Fermi energy = 0.875 states/eV per atom

abc: 4.4138 4.4138 4.0275
angles: 90.00 90.00 90.00
Atoms (fractional coordinates):
1 Na 0.0000 0.5000 0.0000
2 Na 0.5000 0.0000 0.0000
3 Ti 0.0000 0.0000 0.5000
4 Pt 0.5000 0.5000 0.5000
5 O 0.0000 0.0000 0.0000


[5]
First-principles (GGA-PBE) data for a relaxed NaTi2PtO6 crystal, as listed in Alexandria.

Output
V = 266.3 Å³ per cell
E_form (uncorrected) = -2043 kJ/mol of formula units
Magnetic moment = 0.90 μB per formula unit
DOS at the Fermi energy = 0.635 states/eV per atom

abc: 7.3436 7.3436 6.6360
angles: 116.76 116.76 60.74
Atoms (fractional coordinates):
1 Na 0.2118 0.7882 0.7500
2 Na 0.7882 0.2118 0.2500
3 Ti 0.2624 0.2635 0.7630
4 Ti 0.2635 0.2624 0.2630
5 Ti 0.7365 0.7376 0.7370
6 Ti 0.7376 0.7365 0.2370
7 Pt 0.3168 0.6832 0.2500
8 Pt 0.6832 0.3168 0.7500
9 O 0.1544 0.2209 0.4377
10 O 0.1850 0.5605 0.3368
11 O 0.1862 0.5610 0.9092
12 O 0.2209 0.1544 0.9377
13 O 0.4390 0.8138 0.5908
14 O 0.4395 0.8150 0.1632
15 O 0.5605 0.1850 0.8368
16 O 0.5610 0.1862 0.4092
17 O 0.7791 0.8456 0.0623
18 O 0.8138 0.4390 0.0908
19 O 0.8150 0.4395 0.6632
20 O 0.8456 0.7791 0.5623


[6]
First-principles (GGA-PBE) data for a relaxed NaTlPtO4 crystal, as listed in Alexandria.

Output
V = 207.2 Å³ per cell
E_form (uncorrected) = -605 kJ/mol of formula units
Magnetic moment = 0.00 μB per formula unit

abc: 6.7064 6.7064 6.7064
angles: 123.33 120.10 87.08
Atoms (fractional coordinates):
1 Na 0.3654 0.1154 0.2500
2 Na 0.6346 0.8846 0.7500
3 Tl 0.0000 0.5000 0.5000
4 Tl 0.5000 0.5000 0.0000
5 Pt 0.0000 0.0000 0.5000
6 Pt 0.0000 0.5000 0.0000
7 O 0.1915 0.7450 0.4465
8 O 0.2015 0.2550 0.9465
9 O 0.2090 0.2193 0.5103
10 O 0.2090 0.6986 0.9897
11 O 0.7910 0.3014 0.0103
12 O 0.7910 0.7807 0.4897
13 O 0.7985 0.7450 0.0535
14 O 0.8085 0.2550 0.5535


[7]
First-principles (GGA-PBE) data for a relaxed Na2TlPt2O6 crystal, as listed in Alexandria.

Output
V = 154.6 Å³ per cell
E_form (uncorrected) = -872 kJ/mol of formula units
Magnetic moment = 0.92 μB per formula unit
DOS at the Fermi energy = 0.299 states/eV per atom

abc: 5.7181 5.7181 5.7980
angles: 100.11 100.11 119.55
Atoms (fractional coordinates):
1 Na 0.1713 0.8287 0.0000
2 Na 0.8287 0.1713 0.0000
3 Tl 0.0000 0.0000 0.5000
4 Pt 0.3368 0.6632 0.5000
5 Pt 0.6632 0.3368 0.5000
6 O 0.0470 0.4208 0.6930
7 O 0.2864 0.2864 0.3048
8 O 0.4208 0.0470 0.6930
9 O 0.5792 0.9530 0.3070
10 O 0.7136 0.7136 0.6952
11 O 0.9530 0.5792 0.3070


[8]
First-principles (GGA-PBE) data for a relaxed Na3Tl3PtO8 crystal, as listed in Alexandria.

Output
V = 219.5 Å³ per cell
E_form (uncorrected) = -1477 kJ/mol of formula units
Magnetic moment = 0.00 μB per formula unit

abc: 6.7776 6.7776 6.7776
angles: 59.86 59.86 59.86
Atoms (fractional coordinates):
1 Na 0.0000 0.5000 0.5000
2 Na 0.5000 0.0000 0.5000
3 Na 0.5000 0.5000 0.0000
4 Tl 0.0000 0.0000 0.5000
5 Tl 0.0000 0.5000 0.0000
6 Tl 0.5000 0.0000 0.0000
7 Pt 0.5000 0.5000 0.5000
8 O 0.2427 0.2427 0.2427
9 O 0.2744 0.7130 0.7130
10 O 0.2870 0.2870 0.7256
11 O 0.2870 0.7256 0.2870
12 O 0.7130 0.2744 0.7130
13 O 0.7130 0.7130 0.2744
14 O 0.7256 0.2870 0.2870
15 O 0.7573 0.7573 0.7573


[9]
First-principles (GGA-PBE) data for a relaxed Na2Tl2PtO6 crystal, as listed in Alexandria.

Output
V = 163.6 Å³ per cell
E_form (uncorrected) = -1022 kJ/mol of formula units
Magnetic moment = 0.00 μB per formula unit

abc: 5.7920 5.7920 5.8303
angles: 98.69 98.69 118.85
Atoms (fractional coordinates):
1 Na 0.1552 0.8448 0.0000
2 Na 0.8448 0.1552 0.0000
3 Tl 0.3361 0.6639 0.5000
4 Tl 0.6639 0.3361 0.5000
5 Pt 0.0000 0.0000 0.5000
6 O 0.0517 0.3518 0.7004
7 O 0.2293 0.2293 0.3002
8 O 0.3518 0.0517 0.7004
9 O 0.6482 0.9483 0.2996
10 O 0.7707 0.7707 0.6998
11 O 0.9483 0.6482 0.2996


[10]
First-principles (GGA-PBE) data for a relaxed Na3Tl2PtO6 crystal, as listed in Alexandria.

Output
V = 167.4 Å³ per cell
E_form (uncorrected) = -1167 kJ/mol of formula units
Magnetic moment = 0.00 μB per formula unit
DOS at the Fermi energy = 0.249 states/eV per atom

abc: 5.9393 5.9393 5.8388
angles: 99.87 99.87 120.08
Atoms (fractional coordinates):
1 Na 0.0000 0.0000 0.0000
2 Na 0.3437 0.6563 0.0000
3 Na 0.6563 0.3437 0.0000
4 Tl 0.1681 0.8319 0.5000
5 Tl 0.8319 0.1681 0.5000
6 Pt 0.5000 0.5000 0.5000
7 O 0.1432 0.4288 0.2833
8 O 0.2797 0.2797 0.7054
9 O 0.4288 0.1432 0.2833
10 O 0.5712 0.8568 0.7167
11 O 0.7203 0.7203 0.2946
12 O 0.8568 0.5712 0.7167


[11]
First-principles (GGA-PBE) data for a relaxed Na3Tm2PtO6 crystal, as listed in Alexandria.

Output
V = 156.6 Å³ per cell
E_form (uncorrected) = -2476 kJ/mol of formula units
Magnetic moment = 1.00 μB per formula unit
DOS at the Fermi energy = 0.011 states/eV per atom

abc: 5.7031 5.7031 5.8598
angles: 98.70 98.70 120.42
Atoms (fractional coordinates):
1 Na 0.0000 0.0000 0.0000
2 Na 0.3407 0.6593 0.0000
3 Na 0.6593 0.3407 0.0000
4 Tm 0.1698 0.8302 0.5000
5 Tm 0.8302 0.1698 0.5000
6 Pt 0.5000 0.5000 0.5000
7 O 0.0856 0.4260 0.2768
8 O 0.2489 0.2489 0.7019
9 O 0.4260 0.0856 0.2768
10 O 0.5740 0.9144 0.7232
11 O 0.7511 0.7511 0.2981
12 O 0.9144 0.5740 0.7232


[12]
First-principles (GGA-PBE) data for a relaxed Na2Tm2PtO6 crystal, as listed in Alexandria.

Output
V = 157.8 Å³ per cell
E_form (uncorrected) = -2347 kJ/mol of formula units
Magnetic moment = 0.00 μB per formula unit
DOS at the Fermi energy = 0.000 states/eV per atom

abc: 5.6717 5.6717 5.8802
angles: 97.49 97.49 120.19
Atoms (fractional coordinates):
1 Na 0.1491 0.8509 0.0000
2 Na 0.8509 0.1491 0.0000
3 Tm 0.3369 0.6631 0.5000
4 Tm 0.6631 0.3369 0.5000
5 Pt 0.0000 0.0000 0.5000
6 O 0.0447 0.3657 0.6941
7 O 0.2524 0.2524 0.2978
8 O 0.3657 0.0447 0.6941
9 O 0.6343 0.9553 0.3059
10 O 0.7476 0.7476 0.7022
11 O 0.9553 0.6343 0.3059


[13]
First-principles (GGA-PBE) data for a relaxed NaTm2PtO5 crystal, as listed in Alexandria.

Output
V = 239.4 Å³ per cell
E_form (uncorrected) = -2022 kJ/mol of formula units
Magnetic moment = 1.01 μB per formula unit
DOS at the Fermi energy = 0.511 states/eV per atom

abc: 6.4259 6.4259 5.7987
angles: 90.00 90.00 90.00
Atoms (fractional coordinates):
1 Na 0.0000 0.0000 0.0000
2 Na 0.5000 0.5000 0.0000
3 Tm 0.1750 0.3250 0.5000
4 Tm 0.3250 0.8250 0.5000
5 Tm 0.6750 0.1750 0.5000
6 Tm 0.8250 0.6750 0.5000
7 Pt 0.0000 0.5000 0.0000
8 Pt 0.5000 0.0000 0.0000
9 O 0.0000 0.0000 0.5000
10 O 0.1383 0.6383 0.2637
11 O 0.1383 0.6383 0.7363
12 O 0.3617 0.1383 0.2637
13 O 0.3617 0.1383 0.7363
14 O 0.5000 0.5000 0.5000
15 O 0.6383 0.8617 0.2637
16 O 0.6383 0.8617 0.7363
17 O 0.8617 0.3617 0.2637
18 O 0.8617 0.3617 0.7363


[14]
First-principles (GGA-PBE) data for a relaxed Na2TmPtO4 crystal, as listed in Alexandria.

Output
V = 103.7 Å³ per cell
E_form (uncorrected) = -1389 kJ/mol of formula units
Magnetic moment = 1.01 μB per formula unit
DOS at the Fermi energy = 0.049 states/eV per atom

abc: 5.6820 3.2498 6.0528
angles: 90.00 111.90 90.00
Atoms (fractional coordinates):
1 Na 0.0000 0.0000 0.0000
2 Na 0.5000 0.5000 0.0000
3 Tm 0.0000 0.5000 0.5000
4 Pt 0.5000 0.0000 0.5000
5 O 0.2139 0.0000 0.7402
6 O 0.2848 0.5000 0.3075
7 O 0.7152 0.5000 0.6925
8 O 0.7861 0.0000 0.2598


[15]
First-principles (GGA-PBE) data for a relaxed Na2UPt3O12 crystal, as listed in Alexandria.

Output
V = 282.4 Å³ per cell
E_form (uncorrected) = -1956 kJ/mol of formula units
Magnetic moment = 1.87 μB per formula unit
DOS at the Fermi energy = 0.694 states/eV per atom

abc: 7.5881 7.5881 7.5881
angles: 56.28 56.28 56.28
Atoms (fractional coordinates):
1 Na 0.0796 0.0796 0.0796
2 Na 0.9204 0.9204 0.9204
3 U 0.5000 0.5000 0.5000
4 Pt 0.0000 0.5000 0.5000
5 Pt 0.5000 0.0000 0.5000
6 Pt 0.5000 0.5000 0.0000
7 O 0.1695 0.1695 0.5951
8 O 0.1695 0.5951 0.1695
9 O 0.1725 0.5657 0.5657
10 O 0.4049 0.8305 0.8305
11 O 0.4343 0.4343 0.8275
12 O 0.4343 0.8275 0.4343
13 O 0.5657 0.1725 0.5657
14 O 0.5657 0.5657 0.1725
15 O 0.5951 0.1695 0.1695
16 O 0.8275 0.4343 0.4343
17 O 0.8305 0.4049 0.8305
18 O 0.8305 0.8305 0.4049